First-principles (PBE-GGA) data for a geometry-optimized TbTeAuO structure, as listed in OQMD via LeMat-Bulk.

Cell: 7.788 6.332 6.313 Å, 90.00 90.20 90.00°
Element x y z (fractional)
Tb1 0.098 0.019 0.247
Tb2 0.098 0.481 0.747
Tb3 0.902 0.519 0.253
Tb4 0.902 0.981 0.753
Te1 0.307 0.558 0.203
Te2 0.307 0.942 0.703
Te3 0.693 0.058 0.297
Te4 0.693 0.442 0.797
Au1 0.417 0.202 0.008
Au2 0.417 0.298 0.508
Au3 0.583 0.702 0.492
Au4 0.583 0.798 0.992
O1 0.003 0.241 0.995
O2 0.003 0.259 0.495
O3 0.997 0.741 0.505
O4 0.997 0.759 0.005

Computed properties:
The space group is P2_1/c, No. 14. Its volume is 19.46 Å³ per atom. The energy above the most stable polymorph in this dataset comes out at 205 meV/atom. As for the total energy: -89.461 eV for the cell shown.



First-principles (PBE-GGA) data for a geometry-optimized TbTeAuO structure, as listed in OQMD via LeMat-Bulk.

Cell: 5.719 10.317 5.739 Å, 90.00 90.00 90.00°
Element x y z (fractional)
Tb1 0.000 0.104 0.250
Tb2 0.000 0.896 0.750
Tb3 0.500 0.104 0.750
Tb4 0.500 0.896 0.250
Te1 0.000 0.278 0.750
Te2 0.000 0.722 0.250
Te3 0.500 0.278 0.250
Te4 0.500 0.722 0.750
Au1 0.250 0.500 0.244
Au2 0.250 0.500 0.744
Au3 0.750 0.500 0.256
Au4 0.750 0.500 0.756
O1 0.250 0.000 0.000
O2 0.250 0.000 0.500
O3 0.750 0.000 0.000
O4 0.750 0.000 0.500

Computed properties:
The space group is Pcca, No. 54. Its volume is 21.16 Å³ per atom. The energy above the most stable polymorph in this dataset comes out at 0 meV/atom. As for the total energy: -92.741 eV for the cell shown.



First-principles (PBE-GGA) data for a geometry-optimized TbTeAuO structure, as listed in OQMD via LeMat-Bulk.

Cell: 5.697 5.697 10.151 Å, 90.00 90.00 90.00°
Element x y z (fractional)
Tb1 0.000 0.000 0.000
Tb2 0.000 0.500 0.214
Tb3 0.500 0.000 0.214
Tb4 0.500 0.500 0.000
Te1 0.000 0.000 0.394
Te2 0.000 0.500 0.826
Te3 0.500 0.000 0.826
Te4 0.500 0.500 0.394
Au1 0.183 0.317 0.596
Au2 0.317 0.817 0.596
Au3 0.683 0.183 0.596
Au4 0.817 0.683 0.596
O1 0.249 0.251 0.108
O2 0.251 0.751 0.108
O3 0.749 0.249 0.108
O4 0.751 0.749 0.108

Computed properties:
The space group is P4bm, No. 100. Its volume is 20.59 Å³ per atom. The energy above the most stable polymorph in this dataset comes out at 27 meV/atom. As for the total energy: -92.306 eV for the cell shown.



First-principles (PBE-GGA) data for a geometry-optimized TeAuO3 structure, as listed in OQMD via LeMat-Bulk.

Cell: 3.977 3.977 4.349 Å, 90.00 90.00 90.00°
Element x y z (fractional)
Te1 0.000 0.000 0.000
Au1 0.500 0.500 0.490
O1 0.000 0.000 0.566
O2 0.000 0.500 0.068
O3 0.500 0.000 0.068

Computed properties:
The space group is P4mm, No. 99. Its volume is 13.76 Å³ per atom. As for the total energy: -22.250 eV for the cell shown.



First-principles (PBE-GGA) data for a geometry-optimized TeAu2O structure, as listed in OQMD via LeMat-Bulk.

Cell: 4.084 7.114 5.781 Å, 90.00 90.00 90.00°
Element x y z (fractional)
Te1 0.000 0.230 0.000
Te2 0.000 0.770 0.500
Au1 0.000 0.191 0.488
Au2 0.000 0.809 0.988
Au3 0.500 0.477 0.017
Au4 0.500 0.523 0.517
O1 0.500 0.212 0.551
O2 0.500 0.788 0.051

Computed properties:
The space group is Pmc2_1, No. 26. Its volume is 20.99 Å³ per atom. The energy above the most stable polymorph in this dataset comes out at 0 meV/atom. As for the total energy: -28.163 eV for the cell shown.



First-principles (PBE-GGA) data for a geometry-optimized TeAuO3 structure, as listed in OQMD via LeMat-Bulk.

Cell: 6.300 6.300 6.300 Å, 53.35 53.35 53.35°
Element x y z (fractional)
Te1 0.135 0.135 0.135
Te2 0.865 0.865 0.865
Au1 0.349 0.349 0.349
Au2 0.651 0.651 0.651
O1 0.056 0.403 0.788
O2 0.212 0.944 0.597
O3 0.403 0.788 0.056
O4 0.597 0.212 0.944
O5 0.788 0.056 0.403
O6 0.944 0.597 0.212

Computed properties:
The space group is R-3, No. 148. Its volume is 14.93 Å³ per atom. As for the total energy: -45.725 eV for the cell shown.



First-principles (PBE-GGA) data for a geometry-optimized TeAu2O structure, as listed in OQMD via LeMat-Bulk.

Cell: 4.313 4.313 9.252 Å, 90.00 90.00 90.00°
Element x y z (fractional)
Te1 0.250 0.250 0.193
Te2 0.750 0.750 0.807
Au1 0.250 0.250 0.548
Au2 0.250 0.750 0.000
Au3 0.750 0.250 0.000
Au4 0.750 0.750 0.452
O1 0.250 0.750 0.500
O2 0.750 0.250 0.500

Computed properties:
The space group is P4/nmm, No. 129. Its volume is 21.51 Å³ per atom. The energy above the most stable polymorph in this dataset comes out at 92 meV/atom. As for the total energy: -27.426 eV for the cell shown.



First-principles (PBE-GGA) data for a geometry-optimized TeAuO3 structure, as listed in OQMD via LeMat-Bulk.

Cell: 5.738 5.738 5.738 Å, 59.07 59.07 59.07°
Element x y z (fractional)
Te1 0.000 0.000 0.000
Te2 0.500 0.500 0.500
Au1 0.250 0.250 0.250
Au2 0.750 0.750 0.750
O1 0.151 0.750 0.349
O2 0.250 0.651 0.849
O3 0.349 0.151 0.750
O4 0.651 0.849 0.250
O5 0.750 0.349 0.151
O6 0.849 0.250 0.651

Computed properties:
The space group is R-3c, No. 167. Its volume is 13.07 Å³ per atom. As for the total energy: -45.601 eV for the cell shown.



Q: Among the records above, which one has the highest total energy?
A: number 4



Q: Number 2 is which compound?
A: TbTeAuO



Q: Which value of volume does entry 7 give?
A: 21.51 Å³ per atom



Q: Among the records above, which one has the lowest volume?
A: number 8